! PBE LiCaDyS3, optimized geometry; values from VASP
&SYSTEM
  ibrav = 0, nat = 12, ntyp = 4
/
ATOMIC_SPECIES
Li 6.94 Li.upf
Ca 40.08 Ca.upf
Dy 162.50 Dy.upf
S 32.06 S.upf
ATOMIC_POSITIONS crystal
Li 0.085 0.250 0.084
Li 0.915 0.750 0.916
Ca 0.182 0.250 0.728
Ca 0.818 0.750 0.272
Dy 0.334 0.750 0.328
Dy 0.666 0.250 0.672
S 0.108 0.250 0.368
S 0.213 0.750 0.001
S 0.428 0.750 0.665
S 0.572 0.250 0.335
S 0.787 0.250 0.999
S 0.892 0.750 0.632
CELL_PARAMETERS angstrom
8.148 0.000 0.000
0.000 3.912 0.000
-1.716 0.000 8.238
! * space-group type: No. 11
! * formation energy (no corrections): -1.872 eV per atom
! * E: -5.3557 eV/atom